Record 1
KAc2GeO6 | PBE | relaxed

Structure (POSCAR):
```
KAc2GeO6
1.0
3.122 1.802 4.699
-3.122 1.802 4.699
0.000 -3.605 4.699
K Ac Ge O
1 2 1 6
Direct
0.000 0.000 0.000 K
0.268 0.268 0.268 Ac
0.732 0.732 0.732 Ac
0.500 0.500 0.500 Ge
0.178 0.677 0.402 O
0.323 0.598 0.822 O
0.402 0.178 0.677 O
0.598 0.822 0.323 O
0.677 0.402 0.178 O
0.822 0.323 0.598 O
```

**Spin magnetization**: 0.949 μB per cell
**Raw formation energy**: -2325 meV per atom
**DOS(E_F)**: 7.19 states/eV/f.u.
**SG**: R-3, No. 148



Record 2
Ca2Sc | PBE | relaxed

Structure (POSCAR):
```
Ca2Sc
1.0
8.033 0.000 0.000
0.000 8.033 0.000
0.000 0.000 8.033
Ca Sc
8 4
Direct
0.250 0.250 0.250 Ca
0.250 0.250 0.750 Ca
0.250 0.750 0.250 Ca
0.250 0.750 0.750 Ca
0.750 0.250 0.250 Ca
0.750 0.250 0.750 Ca
0.750 0.750 0.250 Ca
0.750 0.750 0.750 Ca
0.000 0.000 0.000 Sc
0.000 0.500 0.500 Sc
0.500 0.000 0.500 Sc
0.500 0.500 0.000 Sc
```

**Spin magnetization**: 0.701 μB per cell
**DOS(E_F)**: 6.12 states/eV/f.u.
**SG**: Fm-3m, No. 225



Record 3
CaTcSbAu2 | PBE | relaxed

Structure (POSCAR):
```
CaTcSbAu2
1.0
5.164 0.000 0.000
0.000 5.164 0.000
0.000 0.000 5.134
Ca Tc Sb Au
1 1 1 2
Direct
0.000 0.000 0.000 Ca
0.000 0.000 0.500 Tc
0.500 0.500 0.500 Sb
0.000 0.500 0.000 Au
0.500 0.000 0.000 Au
```

**Spin magnetization**: 2.914 μB per cell
**Raw formation energy**: 1292 meV per atom
**DOS(E_F)**: 4.24 states/eV/f.u.
**SG**: P4/mmm, No. 123



Record 4
OsAuBr2 | PBE | relaxed

Structure (POSCAR):
```
OsAuBr2
1.0
3.033 0.000 0.000
0.000 4.802 0.000
0.000 0.000 13.970
Os Au Br
2 2 4
Direct
0.000 0.000 0.000 Os
0.500 0.500 0.500 Os
0.000 0.000 0.500 Au
0.500 0.500 0.000 Au
0.000 0.500 0.353 Br
0.000 0.500 0.647 Br
0.500 0.000 0.147 Br
0.500 0.000 0.853 Br
```

**Spin magnetization**: 0.000 μB per cell
**Raw formation energy**: 484 meV per atom
**DOS(E_F)**: 3.30 states/eV/f.u.
**SG**: Immm, No. 71



Record 5
SrAl3Mo | PBE | relaxed

Structure (POSCAR):
```
SrAl3Mo
1.0
4.935 0.000 0.000
0.000 4.935 0.000
0.000 0.000 4.935
Sr Al Mo
1 3 1
Direct
0.000 0.000 0.000 Sr
0.000 0.500 0.500 Al
0.500 0.000 0.500 Al
0.500 0.500 0.000 Al
0.500 0.500 0.500 Mo
```

**Spin magnetization**: 0.000 μB per cell
**DOS(E_F)**: 2.61 states/eV/f.u.
**SG**: Pm-3m, No. 221



Record 6
PrErCoPt | PBE | relaxed

Structure (POSCAR):
```
PrErCoPt
1.0
6.981 0.000 0.000
0.000 6.981 0.000
0.000 0.000 6.981
Pr Er Co Pt
4 4 4 4
Direct
0.000 0.000 0.000 Pr
0.000 0.500 0.500 Pr
0.500 0.000 0.500 Pr
0.500 0.500 0.000 Pr
0.000 0.000 0.500 Er
0.000 0.500 0.000 Er
0.500 0.000 0.000 Er
0.500 0.500 0.500 Er
0.250 0.250 0.750 Co
0.250 0.750 0.250 Co
0.750 0.250 0.250 Co
0.750 0.750 0.750 Co
0.250 0.250 0.250 Pt
0.250 0.750 0.750 Pt
0.750 0.250 0.750 Pt
0.750 0.750 0.250 Pt
```

**Spin magnetization**: 1.743 μB per cell
**DOS(E_F)**: 3.37 states/eV/f.u.
**SG**: F-43m, No. 216



Record 7
LiScTc2 | PBE | relaxed

Structure (POSCAR):
```
LiScTc2
1.0
2.567 0.000 0.000
0.000 4.524 0.000
0.000 0.000 5.391
Li Sc Tc
1 1 2
Direct
0.000 0.000 0.000 Li
0.000 0.000 0.500 Sc
0.500 0.500 0.238 Tc
0.500 0.500 0.762 Tc
```

**Spin magnetization**: 0.285 μB per cell
**DOS(E_F)**: 4.14 states/eV/f.u.
**SG**: Pmmm, No. 47



Record 8
Sr2ScTe | PBE | relaxed

Structure (POSCAR):
```
Sr2ScTe
1.0
4.253 0.000 0.000
-2.127 3.684 0.000
0.000 0.000 30.789
Sr Sc Te
6 3 3
Direct
0.000 0.000 0.236 Sr
0.000 0.000 0.764 Sr
0.333 0.667 0.431 Sr
0.333 0.667 0.903 Sr
0.667 0.333 0.097 Sr
0.667 0.333 0.569 Sr
0.000 0.000 0.000 Sc
0.333 0.667 0.667 Sc
0.667 0.333 0.333 Sc
0.000 0.000 0.500 Te
0.333 0.667 0.167 Te
0.667 0.333 0.833 Te
```

**Spin magnetization**: 6.542 μB per cell
**Raw formation energy**: -412 meV per atom
**DOS(E_F)**: 4.68 states/eV/f.u.
**SG**: R-3m, No. 166



Record 9
KReTe2 | PBE | relaxed

Structure (POSCAR):
```
KReTe2
1.0
4.508 0.000 0.000
0.000 4.420 0.000
0.000 0.000 14.210
K Re Te
2 2 4
Direct
0.000 0.000 0.000 K
0.000 0.500 0.500 K
0.500 0.000 0.783 Re
0.500 0.500 0.283 Re
0.000 0.000 0.695 Te
0.000 0.500 0.195 Te
0.500 0.000 0.378 Te
0.500 0.500 0.878 Te
```

**Spin magnetization**: 0.000 μB per cell
**Raw formation energy**: 83 meV per atom
**DOS(E_F)**: 3.87 states/eV/f.u.
**SG**: Amm2, No. 38



Record 10
YTl4Zn | PBE | relaxed

Structure (POSCAR):
```
YTl4Zn
1.0
0.000 4.434 4.434
4.434 0.000 4.434
4.434 4.434 0.000
Y Tl Zn
1 4 1
Direct
0.000 0.000 0.000 Y
0.375 0.375 0.375 Tl
0.375 0.375 0.875 Tl
0.375 0.875 0.375 Tl
0.875 0.375 0.375 Tl
0.750 0.750 0.750 Zn
```

**Spin magnetization**: 0.000 μB per cell
**DOS(E_F)**: 5.77 states/eV/f.u.
**SG**: F-43m, No. 216



Record 11
Nd2TmTe5Au | PBE | relaxed

Structure (POSCAR):
```
Nd2TmTe5Au
1.0
2.173 -9.519 0.000
2.173 9.519 0.000
0.000 0.000 13.217
Nd Tm Te Au
4 2 10 2
Direct
0.114 0.886 0.500 Nd
0.125 0.875 0.119 Nd
0.875 0.125 0.619 Nd
0.886 0.114 0.000 Nd
0.188 0.812 0.821 Tm
0.812 0.188 0.321 Tm
0.040 0.960 0.889 Te
0.288 0.712 0.480 Te
0.304 0.696 0.152 Te
0.352 0.648 0.812 Te
0.500 0.500 0.093 Te
0.500 0.500 0.593 Te
0.648 0.352 0.312 Te
0.696 0.304 0.652 Te
0.712 0.288 0.980 Te
0.960 0.040 0.389 Te
0.426 0.574 0.273 Au
0.574 0.426 0.773 Au
```

**Spin magnetization**: 0.000 μB per cell
**Raw formation energy**: -1181 meV per atom
**DOS(E_F)**: 0.21 states/eV/f.u.
**SG**: Cmc2_1, No. 36



Record 12
Hf2ZrIr3 | PBE | relaxed

Structure (POSCAR):
```
Hf2ZrIr3
1.0
4.776 0.000 0.000
0.000 14.590 0.000
0.000 0.000 3.063
Hf Zr Ir
4 2 6
Direct
0.250 0.086 0.000 Hf
0.250 0.414 0.000 Hf
0.750 0.586 0.000 Hf
0.750 0.914 0.000 Hf
0.250 0.750 0.002 Zr
0.750 0.250 0.998 Zr
0.250 0.250 0.495 Ir
0.250 0.573 0.499 Ir
0.250 0.927 0.499 Ir
0.750 0.073 0.501 Ir
0.750 0.427 0.501 Ir
0.750 0.750 0.505 Ir
```

**Spin magnetization**: 0.000 μB per cell
**DOS(E_F)**: 4.17 states/eV/f.u.
**SG**: Pmmn, No. 59



Record 13
Sc2InTe | PBE | relaxed

Structure (POSCAR):
```
Sc2InTe
1.0
7.894 0.000 0.000
0.000 7.894 0.000
0.000 0.000 6.550
Sc In Te
8 4 4
Direct
0.243 0.750 0.125 Sc
0.250 0.243 0.875 Sc
0.250 0.257 0.375 Sc
0.257 0.750 0.625 Sc
0.743 0.250 0.625 Sc
0.750 0.743 0.375 Sc
0.750 0.757 0.875 Sc
0.757 0.250 0.125 Sc
0.000 0.000 0.500 In
0.000 0.500 0.750 In
0.500 0.000 0.250 In
0.500 0.500 0.000 In
0.000 0.000 0.000 Te
0.000 0.500 0.250 Te
0.500 0.000 0.750 Te
0.500 0.500 0.500 Te
```

**Spin magnetization**: 2.207 μB per cell
**Raw formation energy**: -434 meV per atom
**DOS(E_F)**: 3.22 states/eV/f.u.
**SG**: I-42d, No. 122



Record 14
Sr2TiB | PBE | relaxed

Structure (POSCAR):
```
Sr2TiB
1.0
11.124 0.000 0.000
0.000 11.124 0.000
0.000 0.000 4.320
Sr Ti B
8 4 4
Direct
0.076 0.250 0.125 Sr
0.250 0.576 0.375 Sr
0.250 0.924 0.875 Sr
0.424 0.250 0.625 Sr
0.576 0.750 0.625 Sr
0.750 0.076 0.875 Sr
0.750 0.424 0.375 Sr
0.924 0.750 0.125 Sr
0.000 0.000 0.500 Ti
0.000 0.500 0.750 Ti
0.500 0.000 0.250 Ti
0.500 0.500 0.000 Ti
0.000 0.000 0.000 B
0.000 0.500 0.250 B
0.500 0.000 0.750 B
0.500 0.500 0.500 B
```

**Spin magnetization**: 5.237 μB per cell
**DOS(E_F)**: 5.58 states/eV/f.u.
**SG**: I-42d, No. 122



Record 15
NdYScIn | PBE | relaxed

Structure (POSCAR):
```
NdYScIn
1.0
4.769 0.000 0.000
0.000 4.802 0.000
0.000 0.000 4.836
Nd Y Sc In
1 1 1 1
Direct
0.000 0.000 0.000 Nd
0.500 0.000 0.500 Y
0.500 0.500 0.000 Sc
0.000 0.500 0.500 In
```

**Spin magnetization**: 0.008 μB per cell
**DOS(E_F)**: 5.87 states/eV/f.u.
**SG**: Pmmm, No. 47



Record 16
Ho6ScSe8 | PBE | relaxed

Structure (POSCAR):
```
Ho6ScSe8
1.0
0.000 5.698 5.698
5.698 0.000 5.698
5.698 5.698 0.000
Ho Sc Se
6 1 8
Direct
0.000 0.000 0.500 Ho
0.000 0.500 0.000 Ho
0.000 0.500 0.500 Ho
0.500 0.000 0.000 Ho
0.500 0.000 0.500 Ho
0.500 0.500 0.000 Ho
0.000 0.000 0.000 Sc
0.247 0.247 0.753 Se
0.247 0.753 0.247 Se
0.247 0.753 0.753 Se
0.250 0.250 0.250 Se
0.750 0.750 0.750 Se
0.753 0.247 0.247 Se
0.753 0.247 0.753 Se
0.753 0.753 0.247 Se
```

**Spin magnetization**: 0.000 μB per cell
**Raw formation energy**: -1794 meV per atom
**DOS(E_F)**: 6.58 states/eV/f.u.
**SG**: Fm-3m, No. 225



Record 17
MgTiI3 | PBE | relaxed

Structure (POSCAR):
```
MgTiI3
1.0
5.681 0.000 0.000
0.000 5.681 0.000
0.000 0.000 5.681
Mg Ti I
1 1 3
Direct
0.000 0.000 0.000 Mg
0.500 0.500 0.500 Ti
0.000 0.000 0.500 I
0.000 0.500 0.000 I
0.500 0.000 0.000 I
```

**Spin magnetization**: 2.952 μB per cell
**Raw formation energy**: 4 meV per atom
**DOS(E_F)**: 6.30 states/eV/f.u.
**SG**: Pm-3m, No. 221



Record 18
Na2SrCeS4 | PBE | relaxed

Structure (POSCAR):
```
Na2SrCeS4
1.0
7.039 0.000 0.000
0.000 4.177 0.000
-2.458 0.000 6.798
Na Sr Ce S
2 1 1 4
Direct
0.000 0.000 0.000 Na
0.000 0.500 0.500 Na
0.500 0.000 0.500 Sr
0.500 0.500 0.000 Ce
0.267 0.500 0.230 S
0.270 0.000 0.775 S
0.730 0.000 0.225 S
0.733 0.500 0.770 S
```

**Spin magnetization**: 0.000 μB per cell
**Raw formation energy**: -1675 meV per atom
**SG**: P2/m, No. 10



Record 19
BeAsSe2Cl | PBE | relaxed

Structure (POSCAR):
```
BeAsSe2Cl
1.0
4.999 0.000 0.000
0.000 4.999 0.000
0.000 0.000 4.889
Be As Se Cl
1 1 2 1
Direct
0.000 0.000 0.000 Be
0.500 0.500 0.000 As
0.000 0.500 0.500 Se
0.500 0.000 0.500 Se
0.500 0.500 0.500 Cl
```

**Spin magnetization**: 1.476 μB per cell
**Raw formation energy**: 1388 meV per atom
**DOS(E_F)**: 4.88 states/eV/f.u.
**SG**: P4/mmm, No. 123



Record 20
In2RuPbBr | PBE | relaxed

Structure (POSCAR):
```
In2RuPbBr
1.0
5.226 0.000 0.000
0.000 5.226 0.000
0.000 0.000 5.248
In Ru Pb Br
2 1 1 1
Direct
0.000 0.500 0.000 In
0.500 0.000 0.000 In
0.000 0.000 0.000 Ru
0.000 0.000 0.500 Pb
0.500 0.500 0.500 Br
```

**Spin magnetization**: 0.000 μB per cell
**Raw formation energy**: -192 meV per atom
**DOS(E_F)**: 2.10 states/eV/f.u.
**SG**: P4/mmm, No. 123



Record 21
CrFeP2 | PBE | relaxed

Structure (POSCAR):
```
CrFeP2
1.0
5.590 0.000 0.000
0.000 5.590 0.000
0.000 0.000 5.590
Cr Fe P
4 4 8
Direct
0.000 0.000 0.000 Cr
0.000 0.500 0.500 Cr
0.500 0.000 0.500 Cr
0.500 0.500 0.000 Cr
0.000 0.000 0.500 Fe
0.000 0.500 0.000 Fe
0.500 0.000 0.000 Fe
0.500 0.500 0.500 Fe
0.250 0.250 0.250 P
0.250 0.250 0.750 P
0.250 0.750 0.250 P
0.250 0.750 0.750 P
0.750 0.250 0.250 P
0.750 0.250 0.750 P
0.750 0.750 0.250 P
0.750 0.750 0.750 P
```

**Spin magnetization**: 0.000 μB per cell
**DOS(E_F)**: 1.72 states/eV/f.u.
**SG**: Fm-3m, No. 225



Record 22
BaSbIr | PBE | relaxed

Structure (POSCAR):
```
BaSbIr
1.0
12.876 0.000 0.000
0.000 4.603 0.000
-1.701 0.000 6.074
Ba Sb Ir
4 4 4
Direct
0.119 0.000 0.302 Ba
0.381 0.500 0.698 Ba
0.619 0.500 0.302 Ba
0.881 0.000 0.698 Ba
0.112 0.500 0.792 Sb
0.388 0.000 0.208 Sb
0.612 0.000 0.792 Sb
0.888 0.500 0.208 Sb
0.210 0.000 0.865 Ir
0.290 0.500 0.135 Ir
0.710 0.500 0.865 Ir
0.790 0.000 0.135 Ir
```

**Spin magnetization**: 0.000 μB per cell
**Raw formation energy**: -598 meV per atom
**DOS(E_F)**: 1.31 states/eV/f.u.
**SG**: C2/m, No. 12



Record 23
VBAsCl2 | PBE | relaxed

Structure (POSCAR):
```
VBAsCl2
1.0
4.653 0.000 0.000
0.000 4.653 0.000
0.000 0.000 4.479
V B As Cl
1 1 1 2
Direct
0.000 0.000 0.000 V
0.000 0.000 0.500 B
0.500 0.500 0.500 As
0.000 0.500 0.000 Cl
0.500 0.000 0.000 Cl
```

**Spin magnetization**: 2.932 μB per cell
**Raw formation energy**: 725 meV per atom
**DOS(E_F)**: 6.41 states/eV/f.u.
**SG**: P4/mmm, No. 123



Record 24
Pm2HoTl3Te6 | PBE | relaxed

Structure (POSCAR):
```
Pm2HoTl3Te6
1.0
3.905 -6.764 0.000
3.905 6.764 0.000
-2.603 0.000 8.181
Pm Ho Tl Te
2 1 3 6
Direct
0.166 0.834 0.000 Pm
0.834 0.166 0.000 Pm
0.500 0.500 0.000 Ho
0.000 0.000 0.500 Tl
0.331 0.669 0.500 Tl
0.669 0.331 0.500 Tl
0.102 0.428 0.784 Te
0.246 0.246 0.218 Te
0.428 0.102 0.784 Te
0.572 0.898 0.216 Te
0.754 0.754 0.782 Te
0.898 0.572 0.216 Te
```

**Spin magnetization**: 0.000 μB per cell
**Raw formation energy**: -1064 meV per atom
**SG**: C2/m, No. 12



Record 25
TbNdZn4 | PBE | relaxed

Structure (POSCAR):
```
TbNdZn4
1.0
3.796 0.000 0.000
0.010 3.801 0.000
0.018 0.055 9.906
Tb Nd Zn
1 1 4
Direct
0.000 0.000 0.000 Tb
0.500 0.500 0.500 Nd
0.000 0.499 0.244 Zn
0.000 0.501 0.756 Zn
0.500 0.001 0.245 Zn
0.500 0.999 0.755 Zn
```

**Spin magnetization**: 0.000 μB per cell
**DOS(E_F)**: 2.84 states/eV/f.u.
**SG**: P-1, No. 2



| no. | final energy (eV for the cell shown) |
| --- | --- |
| 1 | -66.9 |
| 2 | -32.9 |
| 3 | -16.6 |
| 4 | -31.8 |
| 5 | -24.0 |
| 6 | -98.6 |
| 7 | -28.1 |
| 8 | -43.5 |
| 9 | -39.0 |
| 10 | -16.0 |
| 11 | -87.2 |
| 12 | -120.5 |
| 13 | -81.1 |
| 14 | -62.9 |
| 15 | -21.3 |
| 16 | -88.6 |
| 17 | -14.1 |
| 18 | -40.2 |
| 19 | -10.3 |
| 20 | -21.1 |
| 21 | -119.7 |
| 22 | -66.8 |
| 23 | -20.5 |
| 24 | -52.8 |
| 25 | -14.4 |